Entry from Alexandria via LeMat-Bulk: a PBEsol-optimized structure of TaAlF3 (SCAN).

Unit cell a=4.0400 b=4.0400 c=4.0400 alpha=90.00 beta=90.00 gamma=90.00
Positions (direct):
Ta  0.0000  0.0000  0.0000
Al  0.5000  0.5000  0.5000
F  0.0000  0.5000  0.5000
F  0.5000  0.0000  0.5000
F  0.5000  0.5000  0.0000



Entry from Alexandria via LeMat-Bulk: a PBEsol-optimized structure of Al3TcF (SCAN).

Unit cell a=4.6761 b=4.6761 c=4.6761 alpha=90.00 beta=90.00 gamma=90.00
Positions (direct):
Al  0.0000  0.0000  0.5000
Al  0.0000  0.5000  0.0000
Al  0.5000  0.0000  0.0000
Tc  0.0000  0.0000  0.0000
F  0.5000  0.5000  0.5000



Entry from Alexandria via LeMat-Bulk: a PBEsol-optimized structure of AlTcF3 (SCAN).

Unit cell a=3.9411 b=3.9411 c=3.9411 alpha=90.00 beta=90.00 gamma=90.00
Positions (direct):
Al  0.0000  0.0000  0.0000
Tc  0.5000  0.5000  0.5000
F  0.0000  0.0000  0.5000
F  0.0000  0.5000  0.0000
F  0.5000  0.0000  0.0000



V for the records above, in order: 13.19, 20.45, 12.24 A^3/atom
Energy relative to the elements, uncorrected for the records above, in order: -0.90, -0.06, -1.35 eV per atom
DFT total energy for the records above, in order: -1.3151, -0.9133, -0.8844 Ry per atom